# 1
{
  "formula": "KPmSO4",
  "functional": "PBE",
  "state": "relaxed",
  "lattice": [[-1.5992, 4.2102, -5.9015], [-4.7508, -1.9825, -4.7962], [-6.1301, 3.4043, -0.5794]],
  "species": ["S", "S", "Pm", "Pm", "O", "O", "O", "O", "O", "O", "O", "O", "K", "K"],
  "fractional_positions": [[0.3690, 0.3810, 0.8810], [0.6310, 0.6190, 0.1190], [0.0000, 0.5000, 0.5000], [0.0000, 0.0000, 0.0000], [0.2790, 0.6471, 0.7948], [0.2068, 0.7429, 0.2429], [0.2790, 0.2948, 0.1471], [0.1927, 0.2571, 0.7571], [0.8073, 0.7429, 0.2429], [0.7210, 0.7052, 0.8529], [0.7932, 0.2571, 0.7571], [0.7210, 0.3529, 0.2052], [0.0000, 0.0000, 0.5000], [0.5000, 0.0000, 0.5000]],
  "crystal_system": "orthorhombic",
  "total_energy_ev_per_atom": -6.02,
  "raw_formation_energy_ev_per_atom": -1.761
}

***

# 2
{
  "formula": "Pu4Pa3Se8",
  "functional": "PBE",
  "state": "relaxed",
  "lattice": [[7.1767, -0.1862, -3.9587], [-4.6419, 6.7236, -0.1920], [-0.2009, 0.1330, 8.1690]],
  "species": ["Pa", "Pa", "Pa", "Se", "Se", "Se", "Se", "Se", "Se", "Se", "Se", "Pu", "Pu", "Pu", "Pu"],
  "fractional_positions": [[0.5000, 0.5000, 0.0000], [0.5000, 0.5000, 0.5000], [0.5000, 0.0000, 0.5000], [0.4850, 0.7415, 0.7415], [0.0000, 0.7435, 0.2565], [0.5150, 0.2585, 0.2585], [0.5000, 0.2491, 0.7509], [0.0000, 0.2565, 0.7435], [0.0031, 0.2570, 0.2570], [0.9969, 0.7430, 0.7430], [0.5000, 0.7509, 0.2491], [0.0000, 0.0000, 0.0000], [0.0000, 0.5000, 0.0000], [0.5000, 0.0000, 0.0000], [0.0000, 0.0000, 0.5000]],
  "crystal_system": "monoclinic",
  "total_energy_ev_per_atom": -8.98,
  "raw_formation_energy_ev_per_atom": -1.396
}

***

# 3
{
  "formula": "Nd4Pd",
  "functional": "PBE",
  "state": "relaxed",
  "lattice": [[7.5631, -0.5230, 0.0000], [-3.3970, 6.7774, 0.0000], [-2.0830, -3.1272, 6.5537]],
  "species": ["Nd", "Nd", "Nd", "Nd", "Nd", "Nd", "Nd", "Nd", "Pd", "Pd"],
  "fractional_positions": [[0.7669, 0.0256, 0.8427], [0.1742, 0.9329, 0.6573], [0.1444, 0.4887, 0.7615], [0.1829, 0.9242, 0.1573], [0.2756, 0.5169, 0.3427], [0.6329, 0.4771, 0.7385], [0.7387, 0.8944, 0.2615], [0.7271, 0.3829, 0.2385], [0.5807, 0.0807, 0.5000], [0.3307, 0.3307, 0.0000]],
  "e_above_lowest_polymorph_mev_per_atom": 0,
  "crystal_system": "orthorhombic",
  "total_energy_ev_per_atom": -5.08,
  "formation_energy_ev_per_atom": -0.23
}

***

# 4
{
  "formula": "AgPSe4",
  "functional": "PBE",
  "state": "relaxed",
  "lattice": [[7.8883, -0.9786, 0.0000], [-2.2564, 5.9714, 0.0000], [-2.8159, -2.4964, 8.8391]],
  "species": ["Se", "Se", "Se", "Se", "Se", "Se", "Se", "Se", "Ag", "Ag", "P", "P"],
  "fractional_positions": [[0.2786, 0.1352, 0.6568], [0.8782, 0.5216, 0.6568], [0.7214, 0.8648, 0.3432], [0.6445, 0.2081, 0.0717], [0.1218, 0.4784, 0.3432], [0.3555, 0.7919, 0.9283], [0.9273, 0.8637, 0.0717], [0.0727, 0.1363, 0.9283], [0.6665, 0.4165, 0.8330], [0.3335, 0.5835, 0.1670], [0.8588, 0.1088, 0.2176], [0.1412, 0.8912, 0.7824]],
  "crystal_system": "monoclinic",
  "total_energy_ev_per_atom": -3.70,
  "raw_formation_energy_ev_per_atom": -0.001
}

***

# 5
{
  "formula": "AcGe6H2",
  "functional": "PBE",
  "state": "relaxed",
  "lattice": [[5.2957, -1.0444, -0.9995], [1.0848, 5.7496, 1.0305], [1.0848, 1.2815, 5.6989]],
  "species": ["Ge", "Ge", "Ge", "Ge", "Ge", "Ge", "Ac", "H", "H"],
  "fractional_positions": [[0.2569, 0.9622, 0.5271], [0.5000, 0.3032, 0.6968], [0.5000, 0.6968, 0.3032], [0.7431, 0.4729, 0.0378], [0.2569, 0.5271, 0.9622], [0.7431, 0.0378, 0.4729], [0.0000, 0.0000, 0.0000], [0.2374, 0.2263, 0.2263], [0.7626, 0.7737, 0.7737]],
  "crystal_system": "monoclinic",
  "total_energy_ev_per_atom": -4.26
}

***

# 6
{
  "formula": "KZrBr4",
  "functional": "PBE",
  "state": "relaxed",
  "lattice": [[-2.9555, -2.2040, 5.2961], [-2.4907, 4.1496, 4.2683], [-6.4008, 0.5644, 0.5942]],
  "species": ["Zr", "Br", "Br", "Br", "Br", "K"],
  "fractional_positions": [[0.0000, 0.0000, 0.0000], [0.3742, 0.8775, 0.3742], [0.3742, 0.3742, 0.8775], [0.3742, 0.3742, 0.3742], [0.8775, 0.3742, 0.3742], [0.7500, 0.7500, 0.7500]],
  "e_above_lowest_polymorph_mev_per_atom": 1646,
  "crystal_system": "cubic",
  "total_energy_ev_per_atom": -2.55,
  "raw_formation_energy_ev_per_atom": 0.177
}

***

Looking at calculated density for the records above, in order, we have 3.701 9.939 6.999 3.805 6.249 3.932 g cm⁻³.